# 1
A relaxed structure of MgZrRe, computed with PBE-GGA.

* uncorrected energy: -19.480 eV for the cell shown
* energy of formation: 1.0369 eV/atom
* polymorph energy (0 for the lowest one): 939 meV per atom

Lattice parameters (Å, degrees): 4.5542 4.5542 4.5542 60.00 60.00 60.00
Atoms (fractional coordinates):
Mg (0.0000, 0.0000, 0.0000)
Re (0.5000, 0.5000, 0.5000)
Zr (0.2500, 0.2500, 0.2500)


# 2
A relaxed structure of MgZrRe, computed with PBE-GGA.

* uncorrected energy: -22.050 eV for the cell shown
* energy of formation: 0.1802 eV/atom
* polymorph energy (0 for the lowest one): 83 meV per atom

Lattice parameters (Å, degrees): 7.5357 7.3558 2.8856 82.35 75.34 22.30
Atoms (fractional coordinates):
Mg (0.0126, 0.0126, 0.9874)
Re (0.6678, 0.6678, 0.3322)
Zr (0.3195, 0.3195, 0.6805)


# 3
A relaxed structure of MgZrRe, computed with PBE-GGA.

* uncorrected energy: -22.298 eV for the cell shown
* energy of formation: 0.0975 eV/atom
* polymorph energy (0 for the lowest one): 0 meV per atom

Lattice parameters (Å, degrees): 4.7744 4.7744 2.7691 90.00 90.00 120.00
Atoms (fractional coordinates):
Mg (0.0000, 0.0000, 0.0313)
Re (0.3333, 0.6667, 0.3330)
Zr (0.6667, 0.3333, 0.6356)


# 4
A relaxed structure of MgZrRe, computed with PBE-GGA.

* uncorrected energy: -20.733 eV for the cell shown
* energy of formation: 0.6194 eV/atom
* polymorph energy (0 for the lowest one): 522 meV per atom

Lattice parameters (Å, degrees): 4.5254 4.5254 4.5254 60.00 60.00 60.00
Atoms (fractional coordinates):
Mg (0.5000, 0.5000, 0.5000)
Re (0.2500, 0.2500, 0.2500)
Zr (0.0000, 0.0000, 0.0000)